1.
# Mg2V3CoS8 | Alexandria | PBE | relaxed
data_Mg2V3CoS8
_chemical_formula_sum 'Mg6 V9 Co3 S24'
_space_group_name_H-M_alt 'R -3 m'
_space_group_IT_number 166
_space_group_name_Hall '-R 3 2"'
_cell_length_a 7.0971
_cell_length_b 7.0971
_cell_length_c 17.8590
_cell_angle_alpha 90.00
_cell_angle_beta 90.00
_cell_angle_gamma 120.00
loop_
_atom_site_label
_atom_site_type_symbol
_atom_site_fract_x
_atom_site_fract_y
_atom_site_fract_z
Mg1 Mg 0.0000 0.0000 0.1257
V1 V 0.0000 0.5000 0.0000
Co1 Co 0.0000 0.0000 0.5000
S1 S 0.0000 0.0000 0.2611
S2 S 0.0416 0.5208 0.2495
# * energy relative to the elements, uncorrected: -0.873 eV/atom
# * D(E_F): 25.29 states/eV per cell

2.
# MgVCoS4 | Alexandria | PBE | relaxed
data_MgVCoS4
_chemical_formula_sum 'Mg4 V4 Co4 S16'
_space_group_name_H-M_alt 'I m m a'
_space_group_IT_number 74
_space_group_name_Hall '-I 2b 2'
_cell_length_a 6.899
_cell_length_b 7.100
_cell_length_c 10.248
_cell_angle_alpha 90.00
_cell_angle_beta 90.00
_cell_angle_gamma 90.00
loop_
_atom_site_label
_atom_site_type_symbol
_atom_site_fract_x
_atom_site_fract_y
_atom_site_fract_z
Mg1 Mg 0.000 0.250 0.128
V1 V 0.250 0.250 0.750
Co1 Co 0.000 0.000 0.500
S1 S 0.000 0.015 0.724
S2 S 0.215 0.250 0.513
# * energy relative to the elements, uncorrected: -0.773 eV/atom
# * D(E_F): 9.80 states/eV per cell